Entry 1:
This record from Alexandria describes Tl2In8Bi after structural relaxation. The functional is GGA-PBE.

Summary:
The density of states at the Fermi level comes out at 4.82 states/eV per cell.

```
data_Tl2In8Bi
_chemical_formula_sum 'Tl2 In8 Bi1'
_cell_length_a 4.607
_cell_length_b 4.607
_cell_length_c 15.258
_cell_angle_alpha 90.00
_cell_angle_beta 90.00
_cell_angle_gamma 90.00
_symmetry_space_group_name_H-M 'P 4/m m m'
_symmetry_Int_Tables_number 123
_symmetry_space_group_name_Hall '-P 4 2'
loop_
_atom_site_label
_atom_site_type_symbol
_atom_site_fract_x
_atom_site_fract_y
_atom_site_fract_z
_atom_site_occupancy
Tl1 Tl 0.000 0.000 0.168 1
In1 In 0.000 0.500 0.000 1
In2 In 0.000 0.500 0.347 1
In3 In 0.500 0.500 0.189 1
Bi1 Bi 0.000 0.000 0.500 1
```

Entry 2:
This record from Alexandria describes Tl12In2Bi after structural relaxation. The functional is GGA-PBE.

Summary:
The density of states at the Fermi level comes out at 19.64 states/eV per cell.

```
data_Tl12In2Bi
_chemical_formula_sum 'Tl24 In4 Bi2'
_cell_length_a 6.655
_cell_length_b 6.655
_cell_length_c 23.057
_cell_angle_alpha 90.00
_cell_angle_beta 90.00
_cell_angle_gamma 90.00
_symmetry_space_group_name_H-M 'P 4/n b m'
_symmetry_Int_Tables_number 125
loop_
_symmetry_equiv_pos_as_xyz
'x,y,z'
'-x,-y,-z'
'-y+1/2,x,z'
'y+1/2,-x,-z'
'-x+1/2,-y+1/2,z'
'x+1/2,y+1/2,-z'
'y,-x+1/2,z'
'-y,x+1/2,-z'
'x,-y+1/2,-z'
'-x,y+1/2,z'
'-y+1/2,-x+1/2,-z'
'y+1/2,x+1/2,z'
'-x+1/2,y,-z'
'x+1/2,-y,z'
'y,x,-z'
'-y,-x,z'
loop_
_atom_site_label
_atom_site_type_symbol
_atom_site_fract_x
_atom_site_fract_y
_atom_site_fract_z
_atom_site_occupancy
Tl1 Tl 0.003 0.503 0.100 1
Tl2 Tl 0.074 0.574 0.563 1
Tl3 Tl 0.250 0.250 0.204 1
Tl4 Tl 0.250 0.250 0.339 1
In1 In 0.250 0.750 0.292 1
Bi1 Bi 0.250 0.750 0.000 1
```

Entry 3:
This record from Alexandria describes Tl2In3Bi after structural relaxation. The functional is GGA-PBE.

Summary:
The density of states at the Fermi level comes out at 7.00 states/eV per cell. The value obtained for the relative energy among the computed polymorphs is 77.1 meV/atom.

```
data_Tl2In3Bi
_chemical_formula_sum 'Tl4 In6 Bi2'
_cell_length_a 6.5258
_cell_length_b 6.5258
_cell_length_c 9.8595
_cell_angle_alpha 90.00
_cell_angle_beta 90.00
_cell_angle_gamma 120.00
_symmetry_space_group_name_H-M 'P -3 m 1'
_symmetry_Int_Tables_number 164
_symmetry_space_group_name_Hall '-P 3 2"'
loop_
_atom_site_label
_atom_site_type_symbol
_atom_site_fract_x
_atom_site_fract_y
_atom_site_fract_z
_atom_site_occupancy
Tl1 Tl 0.0000 0.0000 0.0000 1
Tl2 Tl 0.0000 0.0000 0.5000 1
Tl3 Tl 0.3333 0.6667 0.0690 1
In1 In 0.1750 0.3499 0.7425 1
Bi1 Bi 0.3333 0.6667 0.4223 1
```

Entry 4:
This record from Alexandria describes TlIn2Bi after structural relaxation. The functional is GGA-PBE.

Summary:
The density of states at the Fermi level comes out at 2.64 states/eV per cell. The value obtained for the relative energy among the computed polymorphs is 94.5 meV/atom.

```
data_TlIn2Bi
_chemical_formula_sum 'Tl2 In4 Bi2'
_cell_length_a 4.476
_cell_length_b 4.476
_cell_length_c 12.920
_cell_angle_alpha 90.00
_cell_angle_beta 90.00
_cell_angle_gamma 90.00
_symmetry_space_group_name_H-M 'I 4/m m m'
_symmetry_Int_Tables_number 139
_symmetry_space_group_name_Hall '-I 4 2'
loop_
_atom_site_label
_atom_site_type_symbol
_atom_site_fract_x
_atom_site_fract_y
_atom_site_fract_z
_atom_site_occupancy
Tl1 Tl 0.000 0.000 0.000 1
In1 In 0.000 0.000 0.260 1
Bi1 Bi 0.000 0.000 0.500 1
```

Number 1: energy of formation 0.046 eV per atom, spin magnetization 0.00 μB per formula unit, energy -30.02 eV/cell. Number 2: energy of formation 0.117 eV per atom, spin magnetization 0.00 μB per formula unit, energy -72.00 eV/cell. Number 3: energy of formation 0.091 eV per atom, spin magnetization 0.00 μB per formula unit, energy -32.57 eV/cell. Number 4: energy of formation 0.100 eV per atom, spin magnetization 0.00 μB per formula unit, energy -22.65 eV/cell.